*A*
Here is FeCoSe2 after structural relaxation from Alexandria via LeMat-Bulk. Energies are from PBE.

It has space group P4mm (No. 99), with a = 3.2544 Å, b = 3.2544 Å, c = 6.6245 Å, α = 90.00°, β = 90.00° and γ = 90.00°. The inequivalent atoms are Fe at (0.0000, 0.0000, 0.0000), Co at (0.5000, 0.5000, 0.7853), Se at (0.0000, 0.0000, 0.6501) and Se at (0.5000, 0.5000, 0.1389).

---

*B*
Here is FeCoSe2 after structural relaxation from Alexandria via LeMat-Bulk. Energies are from PBE.

It has space group R3m (No. 160, hexagonal axes), with a = 3.6082 Å, b = 3.6082 Å, c = 19.1634 Å, α = 90.00°, β = 90.00° and γ = 120.00°. The inequivalent atoms are Fe at (0.0000, 0.0000, 0.0000), Co at (0.0000, 0.0000, 0.2734), Se at (0.0000, 0.0000, 0.5533) and Se at (0.0000, 0.0000, 0.7340).

---

*C*
Here is FeCoSe2 after structural relaxation from Alexandria via LeMat-Bulk. Energies are from PBE.

It has space group R-3m (No. 166, hexagonal axes), with a = 3.4461 Å, b = 3.4461 Å, c = 19.0619 Å, α = 90.00°, β = 90.00° and γ = 120.00°. The inequivalent atoms are Fe at (0.0000, 0.0000, 0.0000), Co at (0.0000, 0.0000, 0.5000) and Se at (0.0000, 0.0000, 0.2476).

---

Which of the structures shown above is the most stable? The most stable is *A*.